Entry 1:
Nd6Dy2Sc3: optimized geometry, GGA-PBE.

Output
Space-group type: P-1
Density of states at the Fermi level, states/eV per atom: 1.548
Energy, eV per atom: -5.077

a = 6.018 Å, b = 8.333 Å, c = 8.386 Å
α = 105.28°, β = 108.28°, γ = 108.02°
Atoms (fractional coordinates):
Nd 0.010 0.407 0.176
Nd 0.149 0.050 0.875
Nd 0.426 0.857 0.292
Nd 0.574 0.143 0.708
Nd 0.851 0.950 0.125
Nd 0.990 0.593 0.824
Dy 0.460 0.680 0.642
Dy 0.540 0.320 0.358
Sc 0.065 0.238 0.557
Sc 0.500 0.500 0.000
Sc 0.935 0.762 0.443

***

Entry 2:
BeInCo2: optimized geometry, GGA-PBE.

Output
Space-group type: Pm
Density of states at the Fermi level, states/eV per atom: 0.951
Energy, eV per atom: -4.952

a = 2.762 Å, b = 3.875 Å, c = 5.041 Å
α = 90.00°, β = 105.70°, γ = 90.00°
Atoms (fractional coordinates):
Be 0.000 0.000 0.000
In 0.356 0.500 0.717
Co 0.088 0.500 0.191
Co 0.687 0.000 0.382

***

Entry 3:
SrPt2Br: optimized geometry, GGA-PBE.

Output
Space-group type: Cmmm
Raw formation energy, eV/atom: -0.404
Density of states at the Fermi level, states/eV per atom: 0.862
Energy, eV per atom: -4.263

a = 5.627 Å, b = 5.980 Å, c = 5.782 Å
α = 90.00°, β = 90.00°, γ = 90.00°
Atoms (fractional coordinates):
Sr 0.000 0.000 0.000
Sr 0.500 0.500 0.000
Pt 0.000 0.215 0.500
Pt 0.000 0.785 0.500
Pt 0.500 0.285 0.500
Pt 0.500 0.715 0.500
Br 0.000 0.500 0.000
Br 0.500 0.000 0.000